# PBE ThZr2In3, relaxed
# DFT total energy	-34.4	eV for the cell shown
# energy of formation	-1.65	eV/f.u.
data_ThZr2In3
_cell_length_a 3.288
_cell_length_b 3.288
_cell_length_c 13.370
_cell_angle_alpha 90.00
_cell_angle_beta 90.00
_cell_angle_gamma 90.00
_space_group_name_H-M_alt 'P 4/m m m'
_space_group_IT_number 123
_space_group_name_Hall '-P 4 2'
loop_
_atom_site_label
_atom_site_type_symbol
_atom_site_fract_x
_atom_site_fract_y
_atom_site_fract_z
Th1 Th 0.000 0.000 0.000
Zr1 Zr 0.000 0.000 0.342
In1 In 0.500 0.500 0.186
In2 In 0.500 0.500 0.500